Arrangement A

A relaxed Ho4Th3Sc crystal. Source: Alexandria via LeMat-Bulk, functional GGA-PBE.

```
Ho4Th3Sc
1.0
0.190 2.798 -5.033
2.641 -4.676 -2.500
-7.796 -2.014 1.883
Sc Th Ho
1 3 4
Direct
0.500 0.000 0.000 Sc
0.118 0.091 0.236 Th
0.882 0.909 0.764 Th
0.000 0.500 0.000 Th
0.630 0.685 0.260 Ho
0.370 0.315 0.740 Ho
0.251 0.702 0.503 Ho
0.749 0.298 0.497 Ho
```



Arrangement B

A relaxed Ho4Th3Sc crystal. Source: Alexandria via LeMat-Bulk, functional GGA-PBE.

```
Ho4Th3Sc
1.0
-0.427 1.824 5.860
-1.725 -6.608 1.931
11.028 -2.423 1.557
Ho Th Sc
8 6 2
Direct
0.487 0.872 0.255 Ho
0.987 0.128 0.755 Ho
0.148 0.866 0.000 Ho
0.641 0.130 0.000 Ho
0.487 0.872 0.745 Ho
0.987 0.128 0.245 Ho
0.141 0.870 0.500 Ho
0.648 0.134 0.500 Ho
0.473 0.387 0.749 Th
0.973 0.613 0.751 Th
0.973 0.613 0.249 Th
0.473 0.387 0.251 Th
0.650 0.625 0.000 Th
0.150 0.375 0.500 Th
0.655 0.622 0.500 Sc
0.155 0.378 0.000 Sc
```



Most stable structure: arrangement B